Record 1
Here is a relaxed CaMgV2O7 crystal from the Alexandria database. Energies are from PBEsol.

Values from the calculation:
The calculation puts the total magnetization at 0.00 μB/atom. The density of states at the Fermi level comes out at 0.000 states/eV per cell. As for the space group: P2_1/c. The calculation puts the volume at 1076.5 Å³ per cell. The calculation puts the formation energy without anion corrections at -2669 meV/atom. The value obtained for the calculated total energy is -8.111 eV per atom.

```
CaMgV2O7
1.0
6.723 0.017 0.000
-1.812 11.063 0.000
0.000 0.000 14.468
Ca Mg V O
8 8 16 56
Cartesian
0.430 10.765 1.870
3.575 5.846 9.103
4.481 0.314 12.598
1.336 5.234 5.364
0.119 2.506 0.106
5.698 3.043 7.340
4.792 8.574 14.362
-0.787 8.037 7.128
-1.317 8.265 3.678
5.322 8.347 10.912
6.228 2.815 10.790
-0.411 2.733 3.556
3.245 6.364 2.521
0.760 10.247 9.754
1.666 4.716 11.947
4.151 0.832 4.713
2.886 3.237 2.934
2.931 2.312 10.168
2.025 7.843 11.533
1.980 8.768 4.300
3.363 3.454 0.184
2.455 2.094 7.418
1.549 7.626 14.284
2.457 8.986 7.050
4.953 5.370 12.525
0.865 0.179 5.291
-0.042 5.710 1.943
4.047 10.901 9.177
4.791 5.338 5.367
1.027 0.210 12.601
0.121 5.742 9.101
3.885 10.870 1.867
3.375 10.664 0.274
0.630 5.947 7.508
1.536 0.416 14.194
4.281 5.133 6.960
5.074 9.641 2.091
-1.069 6.970 9.325
-0.163 1.439 12.376
5.980 4.110 5.143
-0.210 1.285 2.048
6.027 4.264 9.282
5.121 9.795 12.420
-1.116 6.816 5.186
2.834 10.576 10.318
1.171 6.035 3.084
2.077 0.504 4.150
3.740 5.045 11.384
6.194 1.508 9.152
-0.377 4.041 1.918
-1.283 9.572 5.316
5.288 7.039 12.550
-1.292 9.910 9.515
1.127 9.063 8.071
5.297 6.702 2.281
-0.386 4.378 12.186
3.563 7.832 7.531
0.442 8.779 0.298
1.348 3.248 6.936
4.469 2.301 14.170
3.397 10.465 7.626
0.608 6.147 0.392
1.514 0.615 6.842
4.303 4.933 14.075
2.505 2.253 1.525
3.312 3.295 8.759
2.406 8.827 12.942
1.599 7.785 5.708
4.257 2.505 3.603
1.560 3.043 10.837
0.654 8.575 10.864
3.351 8.037 3.631
3.456 5.167 4.281
2.361 0.381 11.515
1.455 5.913 10.187
2.550 10.699 2.953
1.538 3.274 3.932
4.279 2.274 11.166
3.373 7.806 10.536
0.632 8.806 3.302
3.271 4.523 1.764
2.546 1.025 8.998
1.640 6.557 12.704
2.365 10.055 5.470
2.033 3.532 13.630
3.784 2.017 6.396
2.878 7.548 0.838
6.203 1.170 4.952
```

Record 2
Here is a relaxed HgPt2Rh crystal from the Alexandria database. Energies are from PBEsol.

Values from the calculation:
The calculation puts the total magnetization at 0.15 μB/atom. The density of states at the Fermi level comes out at 5.360 states/eV per cell. For the formation enthalpy at 0 K, the calculation gives 0.09 eV per atom. As for the space group: I4/mmm. The calculation puts the volume at 62.6 Å³ per cell. The value obtained for the calculated total energy is -5.568 eV per atom.

```
HgPt2Rh
1.0
-1.854 2.024 2.838
0.982 -2.781 2.624
3.839 2.350 -1.915
Hg Pt Rh
1 2 1
Cartesian
0.000 0.000 0.000
0.775 1.998 1.827
2.192 -0.405 1.720
-0.436 -0.379 2.731
```

Record 3
Here is a relaxed MgSc2 crystal from the Alexandria database. Energies are from PBEsol.

Values from the calculation:
The calculation puts the total magnetization at 0.00 μB/atom. The density of states at the Fermi level comes out at 9.398 states/eV per cell. For the formation enthalpy at 0 K, the calculation gives 0.04 eV per atom. As for the space group: Cm. The calculation puts the volume at 139.7 Å³ per cell. The value obtained for the calculated total energy is -4.932 eV per atom.

```
MgSc2
1.0
-2.721 -1.493 0.636
3.380 -0.620 5.116
-3.512 6.758 0.833
Sc Mg
4 2
Cartesian
-0.988 3.601 4.223
0.544 0.883 4.399
-1.908 3.972 1.157
-3.750 4.993 3.564
-2.857 4.640 6.558
-1.854 1.023 2.360
```

Record 4
Here is a relaxed LiNb13O33 crystal from the Alexandria database. Energies are from PBEsol.

Values from the calculation:
The calculation puts the total magnetization at 0.00 μB/atom. The density of states at the Fermi level comes out at 0.000 states/eV per cell. As for the space group: C2/m. The calculation puts the volume at 673.5 Å³ per cell. The calculation puts the formation energy without anion corrections at -2495 meV/atom. The value obtained for the calculated total energy is -9.216 eV per atom.

```
LiNb13O33
1.0
3.841 0.000 0.000
-1.920 11.292 -0.010
0.000 -0.495 15.530
Li Nb O
1 13 33
Cartesian
1.920 -0.247 7.765
0.000 1.477 3.563
0.000 1.624 10.475
0.000 2.832 7.282
0.000 3.070 14.044
0.000 5.015 2.133
0.000 6.421 5.822
0.000 0.000 0.000
1.920 4.377 9.698
1.920 5.782 13.387
1.920 7.728 1.476
1.920 7.965 8.237
1.920 9.174 5.045
1.920 9.321 11.957
0.000 -0.097 11.012
0.000 0.727 1.861
0.000 1.220 8.432
0.000 1.381 14.769
0.000 2.060 5.672
0.000 2.517 12.198
0.000 3.371 3.023
0.000 3.779 9.474
0.000 4.398 0.395
0.000 4.805 6.699
0.000 5.230 13.387
0.000 5.907 4.099
0.000 7.180 1.558
0.000 7.608 7.802
0.000 8.649 5.257
0.000 9.313 11.677
1.920 0.000 0.000
1.920 1.484 3.843
1.920 2.148 10.263
1.920 3.190 7.718
1.920 3.618 13.962
1.920 4.890 11.421
1.920 5.568 2.133
1.920 5.993 8.821
1.920 6.400 15.125
1.920 7.019 6.046
1.920 7.427 12.496
1.920 8.281 3.322
1.920 8.737 9.848
1.920 9.416 0.750
1.920 9.578 7.088
1.920 10.071 13.659
1.920 10.895 4.507
```

Record 5
Here is a relaxed NiSb3P6O24 crystal from the Alexandria database. Energies are from PBEsol.

Values from the calculation:
The calculation puts the total magnetization at 0.03 μB/atom. The density of states at the Fermi level comes out at 6.763 states/eV per cell. As for the space group: R3. The calculation puts the volume at 436.4 Å³ per cell. The calculation puts the formation energy without anion corrections at -1804 meV/atom. The value obtained for the calculated total energy is -7.114 eV per atom.

```
NiSb3P6O24
1.0
-7.521 3.335 -0.312
-3.542 1.493 -7.281
-6.704 -5.185 -2.457
Ni Sb P O
1 3 6 24
Cartesian
-12.359 1.909 -7.561
-5.415 -2.281 -2.488
-10.237 -3.227 -4.991
-7.537 2.855 -5.058
-7.921 -2.626 -7.328
-8.630 -2.255 -2.223
-12.319 -0.653 -5.468
-5.430 0.324 -4.689
-9.210 1.968 -7.778
-9.751 2.264 -2.664
-2.643 0.338 -1.817
-4.109 0.963 -4.150
-9.017 -2.076 -8.282
-5.218 1.483 -1.604
-8.556 -2.728 -5.907
-6.733 -1.716 -7.291
-7.291 -2.782 -2.809
-9.659 -2.211 -3.396
-11.099 -1.597 -5.706
-5.753 -0.969 -3.906
-5.302 0.094 -6.167
-9.243 0.531 -8.348
-8.463 -0.886 -1.642
-12.479 -0.491 -3.931
-12.076 0.669 -6.127
-6.643 1.251 -4.363
-8.123 1.883 -6.660
-10.533 2.405 -7.219
-11.001 1.372 -2.837
-9.196 2.387 -4.118
-12.577 -1.856 -8.466
-8.730 1.664 -1.741
-13.644 -1.354 -5.905
-15.141 -0.715 -8.207
```

Record 6
Here is a relaxed HgBrCl2 crystal from the Alexandria database. Energies are from PBEsol.

Values from the calculation:
The calculation puts the total magnetization at 0.00 μB/atom. As for the polymorph energy (0 for the lowest one): 0 kJ/mol of formula units. The density of states at the Fermi level comes out at 0.823 states/eV per cell. As for the space group: Pmm2. The calculation puts the volume at 111.9 Å³ per cell. The calculation puts the formation energy without anion corrections at -127 meV/atom. The value obtained for the calculated total energy is -1.740 eV per atom.

```
HgBrCl2
1.0
4.696 0.000 0.000
0.000 4.925 0.000
0.000 0.000 4.839
Hg Br Cl
1 1 2
Cartesian
0.000 1.851 0.000
2.348 1.843 2.420
0.000 4.313 0.000
2.348 4.305 2.420
```

Record 7
Here is a relaxed LiTc2Cl crystal from the Alexandria database. Energies are from PBEsol.

Values from the calculation:
The calculation puts the total magnetization at 0.00 μB/atom. As for the polymorph energy (0 for the lowest one): 0 kJ/mol of formula units. The density of states at the Fermi level comes out at 3.768 states/eV per cell. As for the space group: F-43m. The calculation puts the volume at 54.9 Å³ per cell. The calculation puts the formation energy without anion corrections at 577 meV/atom. The value obtained for the calculated total energy is -6.050 eV per atom.

```
LiTc2Cl
1.0
4.267 0.000 0.000
2.134 3.696 0.000
2.134 1.232 3.484
Cl Li Tc
1 1 2
Cartesian
4.267 2.464 1.742
6.401 3.696 2.613
0.000 0.000 0.000
2.134 1.232 0.871
```

Record 8
Here is a relaxed Hf2TaSeBr crystal from the Alexandria database. Energies are from PBEsol.

Values from the calculation:
The calculation puts the total magnetization at 0.00 μB/atom. The density of states at the Fermi level comes out at 4.378 states/eV per cell. As for the space group: P4/mmm. The calculation puts the volume at 128.3 Å³ per cell. The calculation puts the formation energy without anion corrections at 636 meV/atom. The value obtained for the calculated total energy is -7.220 eV per atom.

```
Hf2TaSeBr
1.0
4.784 0.000 0.000
0.000 5.178 0.000
0.000 0.000 5.178
Hf Se Br Ta
2 1 1 1
Cartesian
0.000 0.000 2.589
0.000 2.589 0.000
2.392 0.000 0.000
2.392 2.589 2.589
0.000 0.000 0.000
```

Question: Which of these has the highest calculated total energy?
Answer: HgBrCl2